## BaZrSe (GGA-PBE)

Data for a geometry-optimized BaZrSe structure.

Values from the calculation:
Raw formation energy (eV/atom): -0.482
Raw total energy (eV per atom): -5.13
Energy above the lowest structure with this stoichiometry (meV per atom): 154.6

Unit cell a=4.6614 b=4.6614 c=5.1819 alpha=90.00 beta=90.00 gamma=120.00
Closest atoms and distances in Å follow each position.
Positions (direct):
Ba  0.0000  0.0000  0.0000  6 Zr 3.74, 6 Se 3.74
Zr  0.6667  0.3333  0.5000  3 Se 2.69
Se  0.3333  0.6667  0.5000  3 Zr 2.69